No. 1
Crystalline Mg2Bi2Rh3 at its relaxed geometry, computed with PBE.

Results
- Spin magnetization: 0.00 μB per cell
- Mass density: 9.57 Mg/m³
- Formation energy: -267 meV/atom

The structure in CIF format:
```
data_Mg2Bi2Rh3
_chemical_formula_sum 'Mg2 Bi2 Rh3'
_cell_length_a 4.678
_cell_length_b 4.699
_cell_length_c 7.549
_cell_angle_alpha 108.10
_cell_angle_beta 90.05
_cell_angle_gamma 119.75
_symmetry_space_group_name_H-M 'P -1'
_symmetry_Int_Tables_number 2
loop_
_symmetry_equiv_pos_as_xyz
'x,y,z'
'-x,-y,-z'
loop_
_atom_site_label
_atom_site_type_symbol
_atom_site_fract_x
_atom_site_fract_y
_atom_site_fract_z
_atom_site_occupancy
Mg1 Mg 0.133 0.266 0.397 1
Bi1 Bi 0.396 0.791 0.185 1
Rh1 Rh 0.000 0.000 0.000 1
Rh2 Rh 0.261 0.523 0.783 1
```



No. 2
Crystalline MgBiRh at its relaxed geometry, computed with PBE.

Results
- Spin magnetization: 0.00 μB per cell
- Mass density: 8.70 Mg/m³
- Formation energy: -261 meV/atom

The structure in CIF format:
```
data_MgBiRh
_chemical_formula_sum 'Mg2 Bi2 Rh2'
_cell_length_a 3.279
_cell_length_b 3.279
_cell_length_c 11.944
_cell_angle_alpha 90.00
_cell_angle_beta 90.00
_cell_angle_gamma 90.00
_symmetry_space_group_name_H-M 'I 4 m m'
_symmetry_Int_Tables_number 107
_symmetry_space_group_name_Hall 'I 4 -2'
loop_
_atom_site_label
_atom_site_type_symbol
_atom_site_fract_x
_atom_site_fract_y
_atom_site_fract_z
_atom_site_occupancy
Mg1 Mg 0.000 0.000 0.000 1
Bi1 Bi 0.000 0.000 0.731 1
Rh1 Rh 0.000 0.000 0.375 1
```



No. 3
Crystalline Mg3BiRh3 at its relaxed geometry, computed with PBE.

Results
- Spin magnetization: 0.00 μB per cell
- Mass density: 7.71 Mg/m³
- Formation energy: -421 meV/atom

The structure in CIF format:
```
data_Mg3BiRh3
_chemical_formula_sum 'Mg9 Bi3 Rh9'
_cell_length_a 8.9939
_cell_length_b 8.9939
_cell_length_c 5.4464
_cell_angle_alpha 90.00
_cell_angle_beta 90.00
_cell_angle_gamma 120.00
_symmetry_space_group_name_H-M 'R -3 m'
_symmetry_Int_Tables_number 166
_symmetry_space_group_name_Hall '-R 3 2"'
loop_
_atom_site_label
_atom_site_type_symbol
_atom_site_fract_x
_atom_site_fract_y
_atom_site_fract_z
_atom_site_occupancy
Mg1 Mg 0.0000 0.5000 0.0000 1
Bi1 Bi 0.0000 0.0000 0.0000 1
Rh1 Rh 0.0000 0.5000 0.5000 1
```